An optimized crystal structure of LiYAl, computed with PBE.

Cell: 6.0610 6.0607 3.4279 Å, 73.58 73.57 32.85°
Closest atoms and distances in Å follow each position.
Atoms (fractional coordinates):
Al  0.9792  0.9792  0.0208  4 Li 2.76
Y  0.6595  0.6595  0.3405  4 Al 3.14, 5 Li 3.30-3.31, 4 Y 3.43
Li  0.3613  0.3613  0.6387  4 Al 2.76

Output
E_form   -0.1157 eV/atom
Energy above the most stable polymorph in this dataset   105 meV/atom

=====

An optimized crystal structure of Li3YAl3, computed with PBE.

Cell: 6.7100 6.7100 6.7100 Å, 90.00 90.00 90.00°
Closest atoms and distances in Å follow each position.
Atoms (fractional coordinates):
Al  0.0000  0.5000  0.7500  4 Li 2.37
Al  0.0000  0.5000  0.2500  4 Li 2.37
Al  0.5000  0.7500  0.0000  4 Li 2.37
Al  0.2500  0.0000  0.5000  4 Li 2.37
Al  0.5000  0.2500  0.0000  4 Li 2.37
Al  0.7500  0.0000  0.5000  4 Li 2.37
Li  0.2500  0.5000  0.0000  4 Al 2.37
Li  0.0000  0.7500  0.5000  4 Al 2.37
Li  0.5000  0.0000  0.7500  4 Al 2.37
Li  0.0000  0.2500  0.5000  4 Al 2.37
Li  0.7500  0.5000  0.0000  4 Al 2.37
Li  0.5000  0.0000  0.2500  4 Al 2.37
Y  0.5000  0.5000  0.5000  12 Li 3.75, 12 Al 3.75
Y  0.0000  0.0000  0.0000  12 Li 3.75, 12 Al 3.75

Output
E_form   0.4461 eV/atom

=====

An optimized crystal structure of LiYAl, computed with PBE.

Cell: 4.8299 4.8299 3.2738 Å, 90.00 90.00 120.00°
Closest atoms and distances in Å follow each position.
Atoms (fractional coordinates):
Y  0.3333  0.6667  0.6666  6 Li 3.23, 6 Al 3.23, 2 Y 3.27
Al  0.0000  0.0000  0.1666  3 Li 2.79
Li  0.6667  0.3333  0.1666  3 Al 2.79

Output
E_form   -0.2208 eV/atom
Energy above the most stable polymorph in this dataset   0 meV/atom

=====

An optimized crystal structure of LiYAl4, computed with PBE.

Cell: 5.4877 5.4877 5.4877 Å, 60.00 60.00 60.00°
Closest atoms and distances in Å follow each position.
Atoms (fractional coordinates):
Al  0.6253  0.6253  0.1241  6 Al 2.74-2.75
Al  0.6253  0.6253  0.6253  6 Al 2.74-2.75
Al  0.6253  0.1241  0.6253  6 Al 2.74-2.75
Al  0.1241  0.6253  0.6253  6 Al 2.74-2.75
Y  0.0000  0.0000  0.0000  12 Al 3.22, 4 Li 3.36
Li  0.2500  0.2500  0.2500  12 Al 3.22, 4 Y 3.36

Output
E_form   -0.2690 eV/atom

=====

An optimized crystal structure of LiY2Al, computed with PBE.

Cell: 10.1966 10.1966 10.1966 Å, 20.12 20.12 20.12°
Closest atoms and distances in Å follow each position.
Atoms (fractional coordinates):
Al  0.2500  0.2500  0.2500  6 Y 3.04
Li  0.7500  0.7500  0.7500  6 Y 3.44, 6 Li 3.56
Y  0.5088  0.5088  0.5088  3 Al 3.04
Y  0.9912  0.9912  0.9912  3 Al 3.04

Output
E_form   -0.0056 eV/atom

=====

An optimized crystal structure of LiYAl, computed with PBE.

Cell: 4.6039 4.6039 4.6039 Å, 60.00 60.00 60.00°
Closest atoms and distances in Å follow each position.
Atoms (fractional coordinates):
Y  0.0000  0.0000  0.0000  4 Li 2.82
Al  0.5000  0.5000  0.5000  4 Li 2.82
Li  0.7500  0.7500  0.7500  4 Al 2.82, 4 Y 2.82

Output
E_form   0.0595 eV/atom
Energy above the most stable polymorph in this dataset   280 meV/atom

=====

An optimized crystal structure of LiY3Al, computed with PBE.

Cell: 5.0972 5.0957 10.3979 Å, 90.00 75.81 90.00°
Closest atoms and distances in Å follow each position.
Atoms (fractional coordinates):
Y  0.7587  0.2500  0.1309  2 Li 3.17, 2 Al 3.18
Y  0.3886  0.2500  0.8711  2 Li 3.18, 2 Al 3.19
Y  0.2597  0.7500  0.1289  2 Li 3.18, 2 Al 3.19
Y  0.5738  0.2500  0.5007  4 Al 3.13-3.14, 4 Li 3.13-3.14
Y  0.8896  0.7500  0.8691  2 Li 3.17, 2 Al 3.18
Y  0.0745  0.7500  0.4993  4 Al 3.13-3.14, 4 Li 3.13-3.14
Al  0.6645  0.7500  0.3193  8 Y 3.13-3.19
Al  0.9838  0.2500  0.6807  8 Y 3.13-3.19
Li  0.1650  0.2500  0.3183  8 Y 3.13-3.18
Li  0.4833  0.7500  0.6817  8 Y 3.13-3.18

Output
E_form   -0.1739 eV/atom
Energy above the most stable polymorph in this dataset   0 meV/atom

=====

An optimized crystal structure of Li3YAl8, computed with PBE.

Cell: 5.4655 5.4655 8.7840 Å, 90.00 90.00 120.00°
Closest atoms and distances in Å follow each position.
Atoms (fractional coordinates):
Li  0.6667  0.3333  0.0696  4 Li 3.06-3.35, 12 Al 3.15-3.20
Li  0.0000  0.0000  0.9420  12 Al 3.10-3.20, 1 Y 3.30, 3 Li 3.35
Li  0.6667  0.3333  0.4175  1 Li 3.06, 12 Al 3.11-3.32, 3 Y 3.42
Al  0.3333  0.6667  0.4985  6 Al 2.73-2.75
Al  0.3333  0.6667  0.0057  6 Al 2.68-2.75
Al  0.5034  0.0069  0.7516  6 Al 2.68-2.79
Al  0.5034  0.4966  0.7516  6 Al 2.68-2.79
Al  0.1626  0.8374  0.2484  6 Al 2.67-2.80
Al  0.9931  0.4966  0.7516  6 Al 2.68-2.79
Al  0.6748  0.8374  0.2484  6 Al 2.67-2.80
Al  0.1626  0.3252  0.2484  6 Al 2.67-2.80
Y  0.0000  0.0000  0.5664  12 Al 3.18-3.21, 4 Li 3.30-3.42

Output
E_form   -0.1794 eV/atom

=====

An optimized crystal structure of LiYAl, computed with PBE.

Cell: 3.3332 3.3332 7.4028 Å, 90.00 90.00 120.00°
Closest atoms and distances in Å follow each position.
Atoms (fractional coordinates):
Al  0.0000  0.0000  0.0155  3 Li 2.86, 3 Y 3.12
Li  0.6667  0.3333  0.3009  3 Al 2.86
Y  0.3333  0.6667  0.6836  3 Al 3.12, 6 Y 3.33, 3 Li 3.43

Output
E_form   0.0875 eV/atom
Energy above the most stable polymorph in this dataset   308 meV/atom

=====

An optimized crystal structure of LiY2Al, computed with PBE.

Cell: 3.4148 3.4148 8.3842 Å, 90.00 90.00 90.00°
Closest atoms and distances in Å follow each position.
Atoms (fractional coordinates):
Al  0.0000  0.0000  0.5414  4 Li 2.75
Li  0.5000  0.5000  0.6972  4 Al 2.75
Y  0.0000  0.0000  0.9698  4 Li 3.32, 8 Y 3.41-3.62, 1 Al 3.59
Y  0.5000  0.5000  0.2916  4 Al 3.20, 1 Li 3.40, 4 Y 3.41

Output
E_form   -0.0523 eV/atom

=====

An optimized crystal structure of LiY4Al3, computed with PBE.

Cell: 5.0833 5.0833 8.2135 Å, 108.05 108.03 90.00°
Closest atoms and distances in Å follow each position.
Atoms (fractional coordinates):
Al  0.7476  0.2474  0.4952  8 Y 3.10-3.15
Al  0.2524  0.7526  0.5048  8 Y 3.10-3.15
Al  0.0000  0.5000  0.0000  8 Y 3.16
Li  0.5000  0.0000  0.0000  8 Y 3.16
Y  0.6268  0.6268  0.2535  6 Al 3.10-3.16, 2 Li 3.16
Y  0.1268  0.1269  0.2535  6 Al 3.11-3.16, 2 Li 3.16
Y  0.3732  0.3732  0.7465  6 Al 3.10-3.16, 2 Li 3.16
Y  0.8732  0.8731  0.7465  6 Al 3.11-3.16, 2 Li 3.16

Output
E_form   -0.3531 eV/atom

=====

An optimized crystal structure of LiY6Al5, computed with PBE.

Cell: 5.1374 7.1820 8.1335 Å, 90.00 71.59 90.00°
Closest atoms and distances in Å follow each position.
Atoms (fractional coordinates):
Y  0.8323  0.2488  0.3355  7 Al 3.13-3.20, 1 Li 3.15
Y  0.1677  0.2488  0.6645  7 Al 3.13-3.20, 1 Li 3.15
Y  0.1677  0.7512  0.6645  7 Al 3.13-3.20, 1 Li 3.15
Y  0.5000  0.7484  0.0000  6 Al 3.06-3.13, 2 Li 3.14
Y  0.8323  0.7512  0.3355  7 Al 3.13-3.20, 1 Li 3.15
Y  0.5000  0.2516  0.0000  6 Al 3.06-3.13, 2 Li 3.14
Al  0.6604  0.0000  0.6792  8 Y 3.06-3.20
Al  0.0000  0.5000  0.0000  8 Y 3.13-3.16
Al  0.3396  0.0000  0.3208  8 Y 3.06-3.20
Al  0.3339  0.5000  0.3322  8 Y 3.12-3.14
Al  0.6661  0.5000  0.6678  8 Y 3.12-3.14
Li  0.0000  0.0000  0.0000  8 Y 3.14-3.15

Output
E_form   -0.3830 eV/atom

=====

Total energy for the records above, in order: -4.1559; -2.9015; -4.2609; -4.1604; -4.6518; -3.9806; -5.1836; -3.6915; -3.9527; -4.6984; -5.2278; -5.3340 eV/atom
DOS at the Fermi energy for the records above, in order: 3.59; 6.23; 1.53; 3.04; 2.88; 3.35; 10.45; 5.77; 2.89; 5.43; 3.96; 6.52 states/eV/cell